Entry 1:
Below is a relaxed SiAgP crystal, with properties calculated at the PBE level.

Cell: 3.404 3.404 5.294 Å, 90.00 90.00 120.00°
Element x y z (fractional)
P1 0.667 0.333 0.394
Ag1 0.000 0.000 0.988
Si1 0.333 0.667 0.617

Summary:
Formation energy without anion corrections (eV/f.u.): 0.305

Entry 2:
Below is a relaxed BeAlPt2 crystal, with properties calculated at the PBE level.

Cell: 3.319 4.006 4.006 Å, 90.00 90.00 90.00°
Element x y z (fractional)
Al1 0.500 0.500 0.500
Pt1 0.000 0.500 0.000
Pt2 0.000 0.000 0.500
Be1 0.500 0.000 0.000

Summary:
Energy of formation (meV per atom): -824

D(E_F): 0.82; 1.17 (states/eV/f.u.)